EuGdIr | GGA-PBE | optimized geometry

Symmetry: F-43m (216)
Theoretical density, g/cm³: 10.12
ΔE_f, eV/atom: -0.501
Offset from the most stable computed form, kJ per mole of atoms: 0.0
Energy, eV/atom: -11.573

a = 4.882 Å, b = 4.882 Å, c = 4.882 Å
α = 60.00°, β = 60.00°, γ = 60.00°
Sites, in units of the cell vectors:
Eu (0.000, 0.000, 0.000)
Gd (0.500, 0.500, 0.500)
Ir (0.250, 0.250, 0.250)

=====

EuGdIrRh | GGA-PBE | optimized geometry

Symmetry: F-43m (216)
Theoretical density, g/cm³: 11.90
ΔE_f, eV/atom: -0.515
Energy, eV/atom: -10.657

a = 4.923 Å, b = 4.923 Å, c = 4.923 Å
α = 60.00°, β = 60.00°, γ = 60.00°
Sites, in units of the cell vectors:
Eu (0.000, 0.000, 0.000)
Gd (0.500, 0.500, 0.500)
Ir (0.750, 0.750, 0.750)
Rh (0.250, 0.250, 0.250)

=====

LaEuGd2 | GGA-PBE | optimized geometry

Symmetry: P4/mmm (123)
Theoretical density, g/cm³: 7.06
ΔE_f, eV/atom: 0.067
Offset from the most stable computed form, kJ per mole of atoms: 0.0
Energy, eV/atom: -10.774

a = 3.684 Å, b = 3.684 Å, c = 10.486 Å
α = 90.00°, β = 90.00°, γ = 90.00°
Sites, in units of the cell vectors:
La (0.000, 0.000, 0.000)
Eu (0.000, 0.000, 0.500)
Gd (0.500, 0.500, 0.239)
Gd (0.500, 0.500, 0.761)

=====

LaEuGd2 | GGA-PBE | optimized geometry

Symmetry: R-3m (166)
Theoretical density, g/cm³: 7.04
ΔE_f, eV/atom: 0.145
Offset from the most stable computed form, kJ per mole of atoms: 7.6
Energy, eV/atom: -10.696

a = 12.890 Å, b = 12.890 Å, c = 12.890 Å
α = 16.06°, β = 16.06°, γ = 16.06°
Sites, in units of the cell vectors:
La (0.000, 0.000, 0.000)
Eu (0.500, 0.500, 0.500)
Gd (0.410, 0.410, 0.410)
Gd (0.590, 0.590, 0.590)

=====

LaEuGd | GGA-PBE | optimized geometry

Symmetry: I4mm (107)
Theoretical density, g/cm³: 6.77
ΔE_f, eV/atom: 0.384
Offset from the most stable computed form, kJ per mole of atoms: 25.7
Energy, eV/atom: -9.377

a = 9.907 Å, b = 9.907 Å, c = 9.907 Å
α = 160.35°, β = 160.35°, γ = 27.93°
Sites, in units of the cell vectors:
La (0.000, 0.000, 0.000)
Eu (0.820, 0.820, 0.000)
Gd (0.170, 0.170, 0.000)

=====

LaEuGd | GGA-PBE | optimized geometry

Symmetry: P3m1 (156)
Theoretical density, g/cm³: 6.90
ΔE_f, eV/atom: 0.117
Offset from the most stable computed form, kJ per mole of atoms: 0.0
Energy, eV/atom: -9.644

a = 5.916 Å, b = 5.916 Å, c = 3.557 Å
α = 90.00°, β = 90.00°, γ = 120.00°
Sites, in units of the cell vectors:
La (0.000, 0.000, 0.000)
Eu (0.333, 0.667, 0.998)
Gd (0.667, 0.333, 0.499)

=====

LaNdEuGd | GGA-PBE | optimized geometry

Symmetry: F-43m (216)
Theoretical density, g/cm³: 6.77
ΔE_f, eV/atom: 0.130
Energy, eV/atom: -8.383

a = 5.902 Å, b = 5.902 Å, c = 5.902 Å
α = 60.00°, β = 60.00°, γ = 60.00°
Sites, in units of the cell vectors:
La (0.000, 0.000, 0.000)
Nd (0.500, 0.500, 0.500)
Eu (0.250, 0.250, 0.250)
Gd (0.750, 0.750, 0.750)

=====

LaEuGdSc | GGA-PBE | optimized geometry

Symmetry: F-43m (216)
Theoretical density, g/cm³: 6.19
ΔE_f, eV/atom: 0.141
Energy, eV/atom: -8.762

a = 5.719 Å, b = 5.719 Å, c = 5.719 Å
α = 60.00°, β = 60.00°, γ = 60.00°
Sites, in units of the cell vectors:
La (0.000, 0.000, 0.000)
Eu (0.750, 0.750, 0.750)
Gd (0.500, 0.500, 0.500)
Sc (0.250, 0.250, 0.250)

=====

LaSmEuGd | GGA-PBE | optimized geometry

Symmetry: F-43m (216)
Theoretical density, g/cm³: 6.91
ΔE_f, eV/atom: 0.138
Energy, eV/atom: -8.362

a = 5.880 Å, b = 5.880 Å, c = 5.880 Å
α = 60.00°, β = 60.00°, γ = 60.00°
Sites, in units of the cell vectors:
La (0.000, 0.000, 0.000)
Sm (0.500, 0.500, 0.500)
Eu (0.750, 0.750, 0.750)
Gd (0.250, 0.250, 0.250)

=====

LaEuGdSn | GGA-PBE | optimized geometry

Symmetry: F-43m (216)
Theoretical density, g/cm³: 7.61
ΔE_f, eV/atom: -0.308
Energy, eV/atom: -8.629

a = 5.592 Å, b = 5.592 Å, c = 5.592 Å
α = 60.00°, β = 60.00°, γ = 60.00°
Sites, in units of the cell vectors:
La (0.000, 0.000, 0.000)
Eu (0.250, 0.250, 0.250)
Gd (0.500, 0.500, 0.500)
Sn (0.750, 0.750, 0.750)

=====

LaEuGdTh | GGA-PBE | optimized geometry

Symmetry: F-43m (216)
Theoretical density, g/cm³: 7.99
ΔE_f, eV/atom: 0.209
Energy, eV/atom: -8.966

a = 5.846 Å, b = 5.846 Å, c = 5.846 Å
α = 60.00°, β = 60.00°, γ = 60.00°
Sites, in units of the cell vectors:
La (0.000, 0.000, 0.000)
Eu (0.250, 0.250, 0.250)
Gd (0.500, 0.500, 0.500)
Th (0.750, 0.750, 0.750)

=====

LaEuGdTm | GGA-PBE | optimized geometry

Symmetry: F-43m (216)
Theoretical density, g/cm³: 7.31
ΔE_f, eV/atom: 0.128
Energy, eV/atom: -8.311

a = 5.830 Å, b = 5.830 Å, c = 5.830 Å
α = 60.00°, β = 60.00°, γ = 60.00°
Sites, in units of the cell vectors:
La (0.000, 0.000, 0.000)
Eu (0.250, 0.250, 0.250)
Gd (0.500, 0.500, 0.500)
Tm (0.750, 0.750, 0.750)

=====

Number 1: spin magnetization 14.23 μB/f.u.. Number 2: spin magnetization 0.42 μB/f.u.. Number 3: spin magnetization 7.64 μB/f.u.. Number 4: spin magnetization 22.50 μB/f.u.. Number 5: spin magnetization 15.15 μB/f.u.. Number 6: spin magnetization 0.01 μB/f.u.. Number 7: spin magnetization 0.65 μB/f.u.. Number 8: spin magnetization 14.95 μB/f.u.. Number 9: spin magnetization 0.77 μB/f.u.. Number 10: spin magnetization 15.53 μB/f.u.. Number 11: spin magnetization 1.36 μB/f.u.. Number 12: spin magnetization 0.11 μB/f.u..